This record from the Alexandria database describes a relaxed Dy2CuW4O16 crystal. The functional is GGA-PBEsol.

## Properties
**DOS at the Fermi energy**: 0.127 states/eV/atom
**Uncorrected formation energy**: -2.35 eV/atom
**Total energy**: -415.2 eV per cell
**SG**: C2/c (15)

Unit cell a=5.5964 b=10.0534 c=11.0009 alpha=110.43 beta=90.00 gamma=106.16
Atoms (fractional coordinates):
1 Dy 0.8251 0.3027 0.9587
2 Dy 0.1749 0.6973 0.0413
3 Dy 0.5224 0.6973 0.5413
4 Dy 0.4776 0.3027 0.4587
5 Cu 0.3476 0.0000 0.7500
6 Cu 0.6524 0.0000 0.2500
7 W 0.9410 0.6260 0.7134
8 W 0.0590 0.3740 0.2866
9 W 0.3150 0.3740 0.7866
10 W 0.6850 0.6260 0.2134
11 W 0.1384 0.8896 0.4089
12 W 0.8616 0.1104 0.5911
13 W 0.2488 0.1104 0.0911
14 W 0.7512 0.8896 0.9089
15 O 0.0704 0.4933 0.7402
16 O 0.9296 0.5067 0.2598
17 O 0.5771 0.5067 0.7598
18 O 0.4229 0.4933 0.2402
19 O 0.2181 0.7406 0.6755
20 O 0.7819 0.2594 0.3245
21 O 0.4775 0.2594 0.8245
22 O 0.5225 0.7406 0.1755
23 O 0.9540 0.7398 0.8985
24 O 0.0460 0.2602 0.1015
25 O 0.2142 0.2602 0.6015
26 O 0.7858 0.7398 0.3985
27 O 0.9791 0.2130 0.7733
28 O 0.0209 0.7870 0.2267
29 O 0.7661 0.7870 0.7267
30 O 0.2339 0.2130 0.2733
31 O 0.1100 0.9801 0.5914
32 O 0.8900 0.0199 0.4086
33 O 0.1299 0.0199 0.9086
34 O 0.8701 0.9801 0.0914
35 O 0.6312 0.0284 0.8783
36 O 0.3688 0.9716 0.1217
37 O 0.6028 0.9716 0.6217
38 O 0.3972 0.0284 0.3783
39 O 0.7117 0.2373 0.5776
40 O 0.2883 0.7627 0.4224
41 O 0.4744 0.7627 0.9224
42 O 0.5256 0.2373 0.0776
43 O 0.2151 0.4653 0.9494
44 O 0.7849 0.5347 0.0506
45 O 0.7498 0.5347 0.5506
46 O 0.2502 0.4653 0.4494

This record from the Alexandria database describes a relaxed OsPt3 crystal. The functional is GGA-PBEsol.

## Properties
**DOS at the Fermi energy**: 1.106 states/eV/atom
**Formation energy from the elements**: 0.0804 eV per atom
**Total energy**: -32.8 eV per cell
**SG**: Pmmm (47)

Unit cell a=2.7501 b=3.8852 c=5.4911 alpha=90.00 beta=90.00 gamma=90.00
Atoms (fractional coordinates):
1 Os 0.0000 0.0000 0.0000
2 Pt 0.5000 0.5000 0.7585
3 Pt 0.0000 0.0000 0.5000
4 Pt 0.5000 0.5000 0.2415

This record from the Alexandria database describes a relaxed KBa2Zn2 crystal. The functional is GGA-PBEsol.

## Properties
**DOS at the Fermi energy**: 0.674 states/eV/atom
**Formation energy from the elements**: 0.0956 eV per atom
**Total energy**: -8.1 eV per cell
**SG**: I4/mmm (139)

Unit cell a=4.1091 b=4.1091 c=12.8997 alpha=99.16 beta=99.16 gamma=90.00
Atoms (fractional coordinates):
1 K 0.0000 0.0000 0.0000
2 Zn 0.2500 0.7500 0.5000
3 Zn 0.7500 0.2500 0.5000
4 Ba 0.3525 0.3525 0.7049
5 Ba 0.6475 0.6475 0.2951

This record from the Alexandria database describes a relaxed Zr2AgPb crystal. The functional is GGA-PBEsol.

## Properties
**DOS at the Fermi energy**: 0.923 states/eV/atom
**Formation energy from the elements**: -0.1770 eV per atom
**Total energy**: -26.2 eV per cell
**SG**: P4/mmm (123)

Unit cell a=4.2728 b=4.4037 c=4.4037 alpha=90.00 beta=90.00 gamma=90.00
Atoms (fractional coordinates):
1 Pb 0.5000 0.0000 0.0000
2 Zr 0.0000 0.0000 0.5000
3 Zr 0.0000 0.5000 0.0000
4 Ag 0.5000 0.5000 0.5000

This record from the Alexandria database describes a relaxed CrRhBr2 crystal. The functional is GGA-PBEsol.

## Properties
**DOS at the Fermi energy**: 0.695 states/eV/atom
**Uncorrected formation energy**: 0.23 eV/atom
**Total energy**: -21.2 eV per cell
**SG**: P4mm (99)

Unit cell a=2.9477 b=2.9477 c=8.1977 alpha=90.00 beta=90.00 gamma=90.00
Atoms (fractional coordinates):
1 Br 0.0000 0.0000 0.9377
2 Br 0.5000 0.5000 0.3339
3 Cr 0.0000 0.0000 0.5218
4 Rh 0.5000 0.5000 0.7066

This record from the Alexandria database describes a relaxed GaAgSn3 crystal. The functional is GGA-PBEsol.

## Properties
**DOS at the Fermi energy**: 0.620 states/eV/atom
**Formation energy from the elements**: 0.5058 eV per atom
**Total energy**: -16.9 eV per cell
**SG**: Pm-3m (221)

Unit cell a=5.2683 b=5.2683 c=5.2683 alpha=90.00 beta=90.00 gamma=90.00
Atoms (fractional coordinates):
1 Ga 0.5000 0.5000 0.5000
2 Sn 0.0000 0.5000 0.0000
3 Sn 0.0000 0.0000 0.5000
4 Sn 0.5000 0.0000 0.0000
5 Ag 0.0000 0.0000 0.0000

This record from the Alexandria database describes a relaxed Si2SbW crystal. The functional is GGA-PBEsol.

## Properties
**DOS at the Fermi energy**: 0.583 states/eV/atom
**Uncorrected formation energy**: 0.43 eV/atom
**Total energy**: -28.1 eV per cell
**SG**: R3m (160)

Unit cell a=3.0015 b=3.0015 c=9.3623 alpha=80.78 beta=80.78 gamma=60.00
Atoms (fractional coordinates):
1 Sb 0.2390 0.2390 0.2829
2 Si 0.0161 0.0161 0.9518
3 Si 0.7548 0.7548 0.7357
4 W 0.4901 0.4901 0.5296

This record from the Alexandria database describes a relaxed ScTl2Te crystal. The functional is GGA-PBEsol.

## Properties
**DOS at the Fermi energy**: 0.920 states/eV/atom
**Uncorrected formation energy**: 0.02 eV/atom
**Total energy**: -15.3 eV per cell
**SG**: Cmmm (65)

Unit cell a=3.3625 b=3.3625 c=9.7328 alpha=90.00 beta=90.00 gamma=111.42
Atoms (fractional coordinates):
1 Sc 0.5000 0.5000 0.5000
2 Te 0.5000 0.5000 0.0000
3 Tl 0.0000 0.0000 0.2611
4 Tl 0.0000 0.0000 0.7389

This record from the Alexandria database describes a relaxed CaP2Br crystal. The functional is GGA-PBEsol.

## Properties
**DOS at the Fermi energy**: 0.210 states/eV/atom
**Uncorrected formation energy**: -0.85 eV/atom
**Total energy**: -19.0 eV per cell
**SG**: Pm (6)

Unit cell a=3.4769 b=3.7716 c=7.2808 alpha=94.53 beta=90.00 gamma=90.00
Atoms (fractional coordinates):
1 Br 0.0000 0.6073 0.5721
2 Ca 0.5000 0.1368 0.7615
3 P 0.0000 0.0609 0.0761
4 P 0.5000 0.6950 0.0903

This record from the Alexandria database describes a relaxed HfMg2B crystal. The functional is GGA-PBEsol.

## Properties
**DOS at the Fermi energy**: 0.742 states/eV/atom
**Formation energy from the elements**: 0.4689 eV per atom
**Total energy**: -38.2 eV per cell
**SG**: I-42d (122)

Unit cell a=4.9126 b=5.9140 c=5.9140 alpha=80.07 beta=65.46 gamma=65.46
Atoms (fractional coordinates):
1 Mg 0.2101 0.9149 0.4149
2 Mg 0.5399 0.0851 0.5851
3 Mg 0.3750 0.4149 0.0851
4 Mg 0.8750 0.5851 0.9149
5 B 0.2500 0.5000 0.5000
6 B 0.5000 0.0000 0.0000
7 Hf 0.7500 0.5000 0.5000
8 Hf 0.0000 0.0000 0.0000

This record from the Alexandria database describes a relaxed CrHg2 crystal. The functional is GGA-PBEsol.

## Properties
**DOS at the Fermi energy**: 0.596 states/eV/atom
**Formation energy from the elements**: 0.7098 eV per atom
**Total energy**: -18.5 eV per cell
**SG**: Fd-3m (227)

Unit cell a=5.6205 b=5.6205 c=5.6205 alpha=60.00 beta=60.00 gamma=60.00
Atoms (fractional coordinates):
1 Cr 0.7500 0.7500 0.7500
2 Cr 0.5000 0.5000 0.5000
3 Hg 0.1250 0.6250 0.1250
4 Hg 0.6250 0.1250 0.1250
5 Hg 0.1250 0.1250 0.1250
6 Hg 0.1250 0.1250 0.6250

This record from the Alexandria database describes a relaxed B2O3 crystal. The functional is GGA-PBEsol.

## Properties
**DOS at the Fermi energy**: 0.000 states/eV/atom
**Uncorrected formation energy**: -2.43 eV/atom
**Total energy**: -83.9 eV per cell
**SG**: Cmc2_1 (36)

Unit cell a=4.1383 b=4.5531 c=4.5531 alpha=61.12 beta=90.00 gamma=90.00
Atoms (fractional coordinates):
1 B 0.5676 0.1759 0.4935
2 B 0.0676 0.8241 0.5065
3 B 0.0676 0.4935 0.1759
4 B 0.5676 0.5065 0.8241
5 O 0.5009 0.2565 0.7435
6 O 0.0009 0.7435 0.2565
7 O 0.4182 0.8399 0.5801
8 O 0.9182 0.1601 0.4199
9 O 0.9182 0.5801 0.8399
10 O 0.4182 0.4199 0.1601

This record from the Alexandria database describes a relaxed Ho6Ni20P13 crystal. The functional is GGA-PBEsol.

## Properties
**DOS at the Fermi energy**: 0.659 states/eV/atom
**Formation energy from the elements**: -1.0022 eV per atom
**Total energy**: -267.2 eV per cell
**SG**: P-6 (174)

Unit cell a=3.6926 b=12.4770 c=12.4770 alpha=120.00 beta=90.00 gamma=90.00
Atoms (fractional coordinates):
1 Ho 0.0000 0.5293 0.8114
2 Ho 0.0000 0.2821 0.4707
3 Ho 0.0000 0.1886 0.7179
4 Ho 0.5000 0.8116 0.2815
5 Ho 0.5000 0.4699 0.1884
6 Ho 0.5000 0.7185 0.5301
7 Ni 0.0000 0.8035 0.9090
8 Ni 0.0000 0.1054 0.1965
9 Ni 0.0000 0.0910 0.8946
10 Ni 0.5000 0.3333 0.6667
11 Ni 0.5000 0.9282 0.0788
12 Ni 0.5000 0.1506 0.0718
13 Ni 0.5000 0.9212 0.8494
14 Ni 0.0000 0.6667 0.3333
15 Ni 0.0000 0.5622 0.5835
16 Ni 0.0000 0.0212 0.4378
17 Ni 0.0000 0.4165 0.9788
18 Ni 0.5000 0.6825 0.7530
19 Ni 0.5000 0.0705 0.3175
20 Ni 0.5000 0.2470 0.9295
21 Ni 0.5000 0.9783 0.5648
22 Ni 0.5000 0.5865 0.0217
23 Ni 0.5000 0.4352 0.4135
24 Ni 0.0000 0.7575 0.0779
25 Ni 0.0000 0.3204 0.2425
26 Ni 0.0000 0.9221 0.6796
27 P 0.5000 0.4759 0.6134
28 P 0.5000 0.1375 0.5241
29 P 0.5000 0.3866 0.8625
30 P 0.5000 0.7204 0.9530
31 P 0.5000 0.2326 0.2796
32 P 0.5000 0.0470 0.7674
33 P 0.0000 0.8621 0.4763
34 P 0.0000 0.6142 0.1379
35 P 0.0000 0.5237 0.3858
36 P 0.0000 0.9512 0.2338
37 P 0.0000 0.2826 0.0488
38 P 0.0000 0.7662 0.7174
39 P 0.0000 0.0000 0.0000

This record from the Alexandria database describes a relaxed ZrAlIr2 crystal. The functional is GGA-PBEsol.

## Properties
**DOS at the Fermi energy**: 0.478 states/eV/atom
**Formation energy from the elements**: -0.7043 eV per atom
**Total energy**: -35.6 eV per cell
**SG**: Cm (8)

Unit cell a=3.0915 b=4.4546 c=5.0225 alpha=105.67 beta=107.92 gamma=90.00
Atoms (fractional coordinates):
1 Ir 0.9906 0.9346 0.9811
2 Ir 0.7526 0.3047 0.5052
3 Al 0.2599 0.8140 0.5197
4 Zr 0.4970 0.4467 0.9939

This record from the Alexandria database describes a relaxed SrFe2Ni crystal. The functional is GGA-PBEsol.

## Properties
**DOS at the Fermi energy**: 1.136 states/eV/atom
**Formation energy from the elements**: 0.5697 eV per atom
**Total energy**: -23.6 eV per cell
**SG**: P4/mmm (123)

Unit cell a=3.1212 b=3.1212 c=6.7717 alpha=90.00 beta=90.00 gamma=90.00
Atoms (fractional coordinates):
1 Fe 0.0000 0.0000 0.8406
2 Fe 0.0000 0.0000 0.1594
3 Ni 0.5000 0.5000 0.0000
4 Sr 0.5000 0.5000 0.5000

This record from the Alexandria database describes a relaxed CrOs2W crystal. The functional is GGA-PBEsol.

## Properties
**DOS at the Fermi energy**: 0.787 states/eV/atom
**Formation energy from the elements**: 0.1841 eV per atom
**Total energy**: -47.7 eV per cell
**SG**: R-3m (166)

Unit cell a=2.7128 b=2.7128 c=8.8529 alpha=81.19 beta=81.19 gamma=60.00
Atoms (fractional coordinates):
1 Cr 0.0000 0.0000 0.0000
2 Os 0.2550 0.2550 0.2349
3 Os 0.7450 0.7450 0.7651
4 W 0.5000 0.5000 0.5000

This record from the Alexandria database describes a relaxed CaTl2Fe crystal. The functional is GGA-PBEsol.

## Properties
**DOS at the Fermi energy**: 0.830 states/eV/atom
**Formation energy from the elements**: 0.4326 eV per atom
**Total energy**: -14.6 eV per cell
**SG**: R3m (160)

Unit cell a=3.4174 b=3.4174 c=9.7003 alpha=79.85 beta=79.85 gamma=60.00
Atoms (fractional coordinates):
1 Ca 0.5097 0.5097 0.4708
2 Fe 0.2534 0.2534 0.2397
3 Tl 0.9898 0.9898 0.0306
4 Tl 0.7471 0.7471 0.7588

This record from the Alexandria database describes a relaxed Cs2NaTa crystal. The functional is GGA-PBEsol.

## Properties
**DOS at the Fermi energy**: 1.636 states/eV/atom
**Formation energy from the elements**: 1.5036 eV per atom
**Total energy**: -9.8 eV per cell
**SG**: Fm-3m (225)

Unit cell a=6.3275 b=6.3275 c=6.3275 alpha=60.00 beta=60.00 gamma=60.00
Atoms (fractional coordinates):
1 Cs 0.2500 0.2500 0.2500
2 Cs 0.7500 0.7500 0.7500
3 Na 0.0000 0.0000 0.0000
4 Ta 0.5000 0.5000 0.5000

This record from the Alexandria database describes a relaxed TcBAu2F crystal. The functional is GGA-PBEsol.

## Properties
**DOS at the Fermi energy**: 0.632 states/eV/atom
**Uncorrected formation energy**: 0.48 eV/atom
**Total energy**: -25.7 eV per cell
**SG**: P4/mmm (123)

Unit cell a=3.5215 b=4.4350 c=4.4350 alpha=90.00 beta=90.00 gamma=90.00
Atoms (fractional coordinates):
1 B 0.0000 0.0000 0.0000
2 Au 0.0000 0.0000 0.5000
3 Au 0.0000 0.5000 0.0000
4 Tc 0.5000 0.5000 0.5000
5 F 0.5000 0.0000 0.0000

This record from the Alexandria database describes a relaxed KRbFeCl2 crystal. The functional is GGA-PBEsol.

## Properties
**DOS at the Fermi energy**: 1.813 states/eV/atom
**Uncorrected formation energy**: -0.05 eV/atom
**Total energy**: -15.4 eV per cell
**SG**: P4/mmm (123)

Unit cell a=5.7168 b=6.0326 c=6.0326 alpha=90.00 beta=90.00 gamma=90.00
Atoms (fractional coordinates):
1 K 0.5000 0.5000 0.5000
2 Fe 0.5000 0.0000 0.0000
3 Rb 0.0000 0.0000 0.0000
4 Cl 0.0000 0.0000 0.5000
5 Cl 0.0000 0.5000 0.0000